[1]
Here is crystalline CoNi2O3 at its relaxed geometry from the Alexandria database. Energies are from PBE+U.

Cell: 2.951 5.903 7.233 Å, 107.72 90.00 104.47°
Each line ends with the local moment (μB).
Element x y z (fractional)
Co 0.000 0.000 0.500  2.71
Co 0.500 0.000 0.000  2.70
Ni 0.333 0.667 0.167  1.77
Ni 0.167 0.333 0.333  1.77
Ni 0.667 0.333 0.833  1.77
Ni 0.833 0.667 0.667  1.77
O 0.029 0.058 0.804  0.22
O 0.358 0.717 0.474  0.22
O 0.971 0.942 0.196  0.22
O 0.304 0.608 0.862  0.21
O 0.642 0.283 0.526  0.22
O 0.696 0.392 0.138  0.21

Results
Electronic total energy   -5.1422 eV per atom
Distance to the lowest polymorph of the same formula   62 meV per atom
Volume   9.65 A^3/atom

***

[2]
Here is crystalline LaV2PbO8 at its relaxed geometry from the Alexandria database. Energies are from PBE+U.

Cell: 5.939 5.939 6.934 Å, 90.00 90.00 120.00°
Element x y z (fractional)
O 0.168 0.832 0.745
O 0.832 0.665 0.255
O 0.667 0.333 0.939
O 0.168 0.335 0.745
O 0.335 0.168 0.255
O 0.665 0.832 0.745
O 0.832 0.168 0.255
O 0.333 0.667 0.061
V 0.667 0.333 0.176
V 0.333 0.667 0.824
La 0.000 0.000 0.500
Pb 0.000 0.000 0.000

Results
Electronic total energy   -7.2598 eV per atom
Volume   17.65 A^3/atom